Record 1
Here is crystalline KErMgF6 at its relaxed geometry from Alexandria. Energies are from PBE.

abc: 7.4982 7.1077 7.2617
angles: 119.30 121.08 90.00
Atoms (fractional coordinates):
1 K 0.8389 0.5889 0.6777
2 K 0.1611 0.4111 0.3223
3 Er 0.5000 0.0000 0.5000
4 Er 0.0000 0.0000 0.5000
5 Mg 0.5000 0.5000 0.0000
6 Mg 0.5000 0.0000 0.0000
7 F 0.5831 0.8331 0.1662
8 F 0.8595 0.1095 0.7189
9 F 0.8296 0.1508 0.2675
10 F 0.4378 0.6167 0.2675
11 F 0.4378 0.1508 0.2675
12 F 0.8296 0.6167 0.2675
13 F 0.4169 0.1669 0.8338
14 F 0.1405 0.8905 0.2811
15 F 0.1704 0.8492 0.7325
16 F 0.5622 0.3833 0.7325
17 F 0.5622 0.8492 0.7325
18 F 0.1704 0.3833 0.7325

Results
crystal system: orthorhombic

=====

Record 2
Here is crystalline K2ErMg3F12 at its relaxed geometry from Alexandria. Energies are from PBE.

abc: 7.4437 7.4437 7.4437
angles: 61.29 61.29 61.29
Last column: magnetic moment on the atom in μB.
Atoms (fractional coordinates):
1 K 0.6674 0.6674 0.6674  0.00
2 K 0.3326 0.3326 0.3326  0.00
3 Er 0.0000 0.0000 0.0000  0.00
4 Mg 0.5000 0.0000 0.0000  0.00
5 Mg 0.0000 0.5000 0.0000  0.00
6 Mg 0.0000 0.0000 0.5000  0.00
7 F 0.3047 0.3047 0.9407  0.16
8 F 0.9152 0.9152 0.3445  0.02
9 F 0.3445 0.9152 0.9152  0.02
10 F 0.9407 0.3047 0.3047  0.16
11 F 0.9152 0.3445 0.9152  0.02
12 F 0.3047 0.9407 0.3047  0.16
13 F 0.6953 0.6953 0.0593  0.16
14 F 0.0848 0.0848 0.6555  0.02
15 F 0.6555 0.0848 0.0848  0.02
16 F 0.0593 0.6953 0.6953  0.16
17 F 0.0848 0.6555 0.0848  0.02
18 F 0.6953 0.0593 0.6953  0.16

Results
crystal system: trigonal

=====

no.,E_form (uncorrected) (eV per atom)
1,-3.6002
2,-3.2774